Density functional theory data (PBE-GGA) for a relaxed B2AuSe crystal.

Unit cell a=5.0672 b=5.0672 c=5.8665 alpha=64.41 beta=64.41 gamma=90.00
Closest atoms and distances in Å follow each position.
Fractional positions:
B 0.6152 0.1250 0.2500  2 Se 2.11, 2 Au 2.16
B 0.1348 0.6250 0.2500  2 Se 2.11, 2 Au 2.16
B 0.3750 0.3848 0.7500  2 Se 2.11, 2 Au 2.16
B 0.8750 0.8652 0.7500  2 Se 2.11, 2 Au 2.16
Au 0.0000 0.0000 0.0000  4 B 2.16
Au 0.7500 0.2500 0.5000  4 B 2.16
Se 0.5000 0.5000 0.0000  4 B 2.11
Se 0.2500 0.7500 0.5000  4 B 2.11

Calculated values
formation energy (no corrections) = 644 meV/atom
D(E_F) = 0.49 states/eV/atom

=====

Density functional theory data (PBE-GGA) for a relaxed B3AuSe crystal.

Unit cell a=4.2482 b=4.2482 c=4.2482 alpha=90.00 beta=90.00 gamma=90.00
Closest atoms and distances in Å follow each position.
Fractional positions:
B 0.0000 0.5000 0.0000  2 Au 2.12
B 0.0000 0.0000 0.5000  2 Au 2.12
B 0.5000 0.0000 0.0000  2 Au 2.12
Au 0.0000 0.0000 0.0000  6 B 2.12
Se 0.5000 0.5000 0.5000  12 B 3.00

Calculated values
formation energy (no corrections) = 1591 meV/atom
D(E_F) = 0.06 states/eV/atom
ΔE to the lowest computed polymorph = 0 meV/atom

=====

Density functional theory data (PBE-GGA) for a relaxed BAuSe3 crystal.

Unit cell a=5.1057 b=5.1057 c=5.1057 alpha=90.00 beta=90.00 gamma=90.00
Closest atoms and distances in Å follow each position.
Fractional positions:
B 0.5000 0.5000 0.5000  12 Se 3.61
Au 0.0000 0.0000 0.0000  6 Se 2.55
Se 0.0000 0.5000 0.0000  2 Au 2.55
Se 0.0000 0.0000 0.5000  2 Au 2.55
Se 0.5000 0.0000 0.0000  2 Au 2.55

Calculated values
formation energy (no corrections) = 1455 meV/atom
D(E_F) = 1.05 states/eV/atom
ΔE to the lowest computed polymorph = 1404 meV/atom

=====

Density functional theory data (PBE-GGA) for a relaxed BAuSe3 crystal.

Unit cell a=5.7558 b=6.8732 c=12.6500 alpha=87.27 beta=90.00 gamma=90.00
Closest atoms and distances in Å follow each position.
Fractional positions:
B 0.7970 0.5265 0.4413  4 Se 1.99-2.15
B 0.7030 0.0265 0.9413  4 Se 1.99-2.15
B 0.2970 0.9735 0.0587  4 Se 1.99-2.15
B 0.2030 0.4735 0.5587  4 Se 1.99-2.15
Au 0.1524 0.4131 0.1164  2 Se 2.46
Au 0.3476 0.9131 0.6164  2 Se 2.46
Au 0.6524 0.0869 0.3836  2 Se 2.46
Au 0.8476 0.5869 0.8836  2 Se 2.46
Se 0.6017 0.4311 0.3245  1 B 1.99
Se 0.1457 0.6312 0.4151  2 B 2.10-2.15
Se 0.8983 0.9311 0.8245  1 B 1.99
Se 0.7888 0.8045 0.4936  1 B 2.05
Se 0.3543 0.1312 0.9151  2 B 2.10-2.15
Se 0.2888 0.6955 0.0064  1 B 2.05
Se 0.7112 0.3045 0.9936  1 B 2.05
Se 0.6457 0.8688 0.0849  2 B 2.10-2.15
Se 0.2112 0.1955 0.5064  1 B 2.05
Se 0.1017 0.0689 0.1755  1 B 1.99
Se 0.8543 0.3688 0.5849  2 B 2.10-2.15
Se 0.3983 0.5689 0.6755  1 B 1.99

Calculated values
formation energy (no corrections) = 51 meV/atom
ΔE to the lowest computed polymorph = 0 meV/atom

=====

Density functional theory data (PBE-GGA) for a relaxed B3AuSe crystal.

Unit cell a=4.1164 b=4.1164 c=4.1164 alpha=90.00 beta=90.00 gamma=90.00
Closest atoms and distances in Å follow each position.
Fractional positions:
B 0.0000 0.5000 0.0000  2 Se 2.06
B 0.0000 0.0000 0.5000  2 Se 2.06
B 0.5000 0.0000 0.0000  2 Se 2.06
Au 0.5000 0.5000 0.5000  12 B 2.91
Se 0.0000 0.0000 0.0000  6 B 2.06

Calculated values
formation energy (no corrections) = 1965 meV/atom
D(E_F) = 0.41 states/eV/atom
ΔE to the lowest computed polymorph = 374 meV/atom

=====

Density functional theory data (PBE-GGA) for a relaxed TaBAuSe2 crystal.

Unit cell a=5.0237 b=4.3983 c=5.0237 alpha=90.00 beta=90.00 gamma=90.00
Closest atoms and distances in Å follow each position.
Fractional positions:
B 0.0000 0.5000 0.0000  2 Ta 2.20
Au 0.5000 0.5000 0.5000  8 Se 3.34, 4 B 3.55
Se 0.0000 0.0000 0.5000  2 Ta 2.51
Se 0.5000 0.0000 0.0000  2 Ta 2.51
Ta 0.0000 0.0000 0.0000  2 B 2.20

Calculated values
formation energy (no corrections) = 683 meV/atom
D(E_F) = 0.53 states/eV/atom

=====

Density functional theory data (PBE-GGA) for a relaxed TlBAuSe2 crystal.

Unit cell a=4.9056 b=4.3329 c=4.9056 alpha=90.00 beta=90.00 gamma=90.00
Closest atoms and distances in Å follow each position.
Fractional positions:
Tl 0.5000 0.5000 0.5000  8 Se 3.27, 4 Au 3.47
B 0.0000 0.0000 0.0000  2 Au 2.17
Au 0.0000 0.5000 0.0000  2 B 2.17
Se 0.0000 0.0000 0.5000  2 B 2.45
Se 0.5000 0.0000 0.0000  2 B 2.45

Calculated values
formation energy (no corrections) = 425 meV/atom
D(E_F) = 0.72 states/eV/atom

=====

Density functional theory data (PBE-GGA) for a relaxed Tl2BAuSe4 crystal.

Unit cell a=7.1987 b=7.1973 c=6.4081 alpha=124.17 beta=124.16 gamma=89.99
Closest atoms and distances in Å follow each position.
Fractional positions:
Tl 0.4863 0.9862 0.9722  4 Se 2.99-3.00
Tl 0.2362 0.2360 0.4718  8 Se 3.36-3.48
B 0.7357 0.7359 0.4717  4 Se 2.08
Au 0.9858 0.4857 0.9715  4 Se 2.62
Se 0.7157 0.6747 0.7406  1 B 2.08
Se 0.7970 0.4470 0.2029  1 B 2.08
Se 0.4057 0.7558 0.2025  1 B 2.08
Se 0.0248 0.0658 0.7407  1 B 2.08

Calculated values
formation energy (no corrections) = -154 meV/atom
D(E_F) = 0.42 states/eV/atom

=====

Mass density, record by record: 8285 6679 5548 5908 7341 8177 9079 7672 kg/m³